# CrSe2IBr (SCAN, single point on PBEsol structure)
data_CrSe2IBr
_chemical_formula_sum 'Cr1 Se2 I1 Br1'
_symmetry_space_group_name_H-M 'P 1'
_symmetry_Int_Tables_number 1
_symmetry_space_group_name_Hall 'P 1'
_cell_length_a 5.410
_cell_length_b 5.410
_cell_length_c 5.366
_cell_angle_alpha 90.00
_cell_angle_beta 90.00
_cell_angle_gamma 90.00
loop_
_atom_site_label
_atom_site_type_symbol
_atom_site_fract_x
_atom_site_fract_y
_atom_site_fract_z
_atom_site_occupancy
I1 I 0.000 0.000 0.000 1
Cr1 Cr 0.500 0.500 0.500 1
Se1 Se 0.000 0.500 0.000 1
Se2 Se 0.500 0.000 0.000 1
Br1 Br 0.000 0.000 0.500 1
# Electronic total energy: -111.105 eV/f.u.
# Size of the total moment: 0.8817 μB/atom
# Uncorrected formation energy: 0.73 eV/atom